Record 1
# GGA-PBE CdCu2Cl, relaxed
# Energy relative to the lowest polymorph listed for this composition ... 0.267 eV per atom
# M_tot ... 0.00 μB per cell
# V ... 16.967 A^3/atom
# Formation energy without anion corrections ... 0.21 eV/atom
# Calculated total energy ... -2.528 eV per atom
data_CdCu2Cl
_chemical_formula_sum 'Cd1 Cu2 Cl1'
_cell_length_a 4.871
_cell_length_b 4.871
_cell_length_c 3.038
_cell_angle_alpha 90.00
_cell_angle_beta 90.00
_cell_angle_gamma 109.71
_space_group_name_H-M_alt 'P 1'
_space_group_IT_number 1
_space_group_name_Hall 'P 1'
loop_
_atom_site_label
_atom_site_fract_x
_atom_site_fract_y
_atom_site_fract_z
Cd1 0.000 0.000 0.000
Cu1 0.000 0.500 0.500
Cu2 0.500 0.000 0.500
Cl1 0.500 0.500 0.000

***

Record 2
# GGA-PBE ZrW5, relaxed
# E_form ... 0.16 eV/atom
# Energy relative to the lowest polymorph listed for this composition ... 0.136 eV per atom
# M_tot ... 0.00 μB per cell
# V ... 17.769 A^3/atom
# Calculated total energy ... -12.056 eV per atom
data_ZrW5
_chemical_formula_sum 'Zr1 W5'
_cell_length_a 5.322
_cell_length_b 5.322
_cell_length_c 5.322
_cell_angle_alpha 60.00
_cell_angle_beta 60.00
_cell_angle_gamma 60.00
_space_group_name_H-M_alt 'P 1'
_space_group_IT_number 1
_space_group_name_Hall 'P 1'
loop_
_atom_site_label
_atom_site_fract_x
_atom_site_fract_y
_atom_site_fract_z
Zr1 0.000 0.000 0.000
W1 0.126 0.625 0.625
W2 0.250 0.250 0.250
W3 0.625 0.126 0.625
W4 0.625 0.625 0.126
W5 0.625 0.625 0.625

***

Record 3
# GGA-PBE CsNpTeS, relaxed
# M_tot ... 4.00 μB per cell
# V ... 34.996 A^3/atom
# Formation energy without anion corrections ... -1.07 eV/atom
# Calculated total energy ... -6.335 eV per atom
data_CsNpTeS
_chemical_formula_sum 'Cs1 Np1 Te1 S1'
_cell_length_a 9.021
_cell_length_b 9.021
_cell_length_c 9.021
_cell_angle_alpha 27.69
_cell_angle_beta 27.69
_cell_angle_gamma 27.69
_space_group_name_H-M_alt 'P 1'
_space_group_IT_number 1
_space_group_name_Hall 'P 1'
loop_
_atom_site_label
_atom_site_fract_x
_atom_site_fract_y
_atom_site_fract_z
Cs1 0.000 0.000 0.000
Np1 0.155 0.155 0.155
Te1 0.561 0.561 0.561
S1 0.771 0.771 0.771

***

Record 4
# GGA-PBE Zn3IrO6, relaxed
# M_tot ... 0.01 μB per cell
# V ... 11.476 A^3/atom
# Formation energy without anion corrections ... -1.00 eV/atom
# Calculated total energy ... -5.247 eV per atom
data_Zn3IrO6
_chemical_formula_sum 'Zn6 Ir2 O12'
_cell_length_a 6.123
_cell_length_b 6.123
_cell_length_c 6.123
_cell_angle_alpha 89.83
_cell_angle_beta 89.83
_cell_angle_gamma 89.83
_space_group_name_H-M_alt 'P 1'
_space_group_IT_number 1
_space_group_name_Hall 'P 1'
loop_
_atom_site_label
_atom_site_fract_x
_atom_site_fract_y
_atom_site_fract_z
Zn1 0.043 0.748 0.559
Zn2 0.252 0.441 0.957
Zn3 0.441 0.957 0.252
Zn4 0.559 0.043 0.748
Zn5 0.748 0.559 0.043
Zn6 0.957 0.252 0.441
Ir1 0.000 0.000 0.000
Ir2 0.500 0.500 0.500
O1 0.053 0.700 0.895
O2 0.105 0.947 0.300
O3 0.200 0.430 0.572
O4 0.300 0.105 0.947
O5 0.428 0.800 0.570
O6 0.430 0.572 0.200
O7 0.570 0.428 0.800
O8 0.572 0.200 0.430
O9 0.700 0.895 0.053
O10 0.800 0.570 0.428
O11 0.895 0.053 0.700
O12 0.947 0.300 0.105